[1]
Below is a relaxed Ho7Zn2Ag2 crystal, with properties calculated at the GGA-PBE level.

```
Ho7Zn2Ag2
1.0
5.404 -3.708 0.000
5.404 3.708 0.000
-0.011 0.000 7.580
Ho Zn Ag
7 2 2
direct
0.000 0.000 0.000 Ho
0.000 0.500 0.281 Ho
0.000 0.500 0.719 Ho
0.500 0.000 0.281 Ho
0.500 0.000 0.719 Ho
0.500 0.500 0.256 Ho
0.500 0.500 0.744 Ho
0.293 0.293 0.000 Zn
0.707 0.707 0.000 Zn
0.183 0.817 0.500 Ag
0.817 0.183 0.500 Ag
```

- energy of formation from the pure elements (eV/f.u.) = 0.345
- total DFT energy (no corrections) (eV/atom) = -3.63
- density (g/cm³) = 8.21
- magnetization (Bohr magnetons per cell) = 0.00

=====

[2]
Below is a relaxed PmGa2Pd crystal, with properties calculated at the GGA-PBE level.

```
PmGa2Pd
1.0
3.326 0.000 0.000
0.000 3.326 0.000
0.000 0.000 6.982
Pm Ga Pd
1 2 1
direct
0.000 0.000 0.000 Pm
0.500 0.500 0.303 Ga
0.500 0.500 0.697 Ga
0.000 0.000 0.500 Pd
```

- energy of formation from the pure elements (eV/f.u.) = -2.326
- total DFT energy (no corrections) (eV/atom) = -4.58
- density (g/cm³) = 8.40
- magnetization (Bohr magnetons per cell) = 0.00
- ΔE to the lowest computed polymorph (eV per atom) = 0.196